VASP calculation (PBE-GGA) on a geometry-optimized LiPuSc2O6 structure.

Properties
- Formation energy from raw total energies: -2.965 eV per atom

Geometry as POSCAR:
```
LiPuSc2O6
1.0
2.746 1.585 4.851
-2.746 1.585 4.851
0.000 -3.170 4.851
Li Pu Sc O
1 1 2 6
direct
0.000 0.000 0.000
0.489 0.489 0.489
0.280 0.280 0.280
0.788 0.788 0.788
0.089 0.666 0.416
0.186 0.572 0.896
0.416 0.089 0.666
0.572 0.896 0.186
0.666 0.416 0.089
0.896 0.186 0.572
```